1.
# Y2InCo (GGA-PBE, optimized geometry)
# **M_tot**: 0.000 Bohr magnetons per cell
# **E**: -5.86 eV/atom
# **Formation energy**: -163 meV per atom
data_Y2InCo
_space_group_name_H-M_alt 'P 1'
_space_group_IT_number 1
_space_group_name_Hall 'P 1'
_cell_length_a 3.668
_cell_length_b 3.668
_cell_length_c 8.790
_cell_angle_alpha 76.68
_cell_angle_beta 76.68
_cell_angle_gamma 61.89
loop_
_atom_site_label
_atom_site_type_symbol
_atom_site_fract_x
_atom_site_fract_y
_atom_site_fract_z
Co1 Co 0.750 0.750 0.750
In1 In 0.250 0.250 0.250
Y1 Y 0.019 0.019 0.943
Y2 Y 0.481 0.481 0.557

2.
# YInCo2 (GGA-PBE, optimized geometry)
# **M_tot**: 0.000 Bohr magnetons per cell
# **E**: -5.43 eV/atom
# **Formation energy**: 423 meV per atom
data_YInCo2
_space_group_name_H-M_alt 'P 1'
_space_group_IT_number 1
_space_group_name_Hall 'P 1'
_cell_length_a 7.048
_cell_length_b 7.048
_cell_length_c 5.818
_cell_angle_alpha 52.72
_cell_angle_beta 52.72
_cell_angle_gamma 90.00
loop_
_atom_site_label
_atom_site_type_symbol
_atom_site_fract_x
_atom_site_fract_y
_atom_site_fract_z
Y1 Y 0.500 0.500 0.000
Y2 Y 0.250 0.750 0.500
Co1 Co 0.642 0.125 0.250
Co2 Co 0.108 0.625 0.250
Co3 Co 0.375 0.358 0.750
Co4 Co 0.875 0.892 0.750
In1 In 0.000 0.000 0.000
In2 In 0.750 0.250 0.500

3.
# Y2InCo (GGA-PBE, optimized geometry)
# **M_tot**: 1.472 Bohr magnetons per cell
# **E**: -5.71 eV/atom
# **Formation energy**: -15 meV per atom
data_Y2InCo
_space_group_name_H-M_alt 'P 1'
_space_group_IT_number 1
_space_group_name_Hall 'P 1'
_cell_length_a 4.759
_cell_length_b 6.243
_cell_length_c 6.555
_cell_angle_alpha 90.00
_cell_angle_beta 90.00
_cell_angle_gamma 90.00
loop_
_atom_site_label
_atom_site_type_symbol
_atom_site_fract_x
_atom_site_fract_y
_atom_site_fract_z
Y1 Y 0.000 0.000 0.000
Y2 Y 0.000 0.000 0.500
Y3 Y 0.500 0.346 0.750
Y4 Y 0.500 0.654 0.250
In1 In 0.500 0.821 0.750
In2 In 0.500 0.179 0.250
Co1 Co 0.000 0.605 0.750
Co2 Co 0.000 0.395 0.250

4.
# Y8In2Co (GGA-PBE, optimized geometry)
# **M_tot**: 0.002 Bohr magnetons per cell
# **E**: -6.04 eV/atom
# **Formation energy**: -190 meV per atom
data_Y8In2Co
_space_group_name_H-M_alt 'P 1'
_space_group_IT_number 1
_space_group_name_Hall 'P 1'
_cell_length_a 4.775
_cell_length_b 4.775
_cell_length_c 13.428
_cell_angle_alpha 90.00
_cell_angle_beta 90.00
_cell_angle_gamma 90.00
loop_
_atom_site_label
_atom_site_type_symbol
_atom_site_fract_x
_atom_site_fract_y
_atom_site_fract_z
Co1 Co 0.000 0.000 0.000
In1 In 0.000 0.000 0.318
In2 In 0.000 0.000 0.682
Y1 Y 0.000 0.500 0.121
Y2 Y 0.500 0.000 0.121
Y3 Y 0.000 0.500 0.879
Y4 Y 0.500 0.000 0.879
Y5 Y 0.000 0.500 0.500
Y6 Y 0.500 0.000 0.500
Y7 Y 0.500 0.500 0.314
Y8 Y 0.500 0.500 0.686

5.
# YInCo2 (GGA-PBE, optimized geometry)
# **M_tot**: 3.393 Bohr magnetons per cell
# **E**: -5.63 eV/atom
# **Formation energy**: 221 meV per atom
data_YInCo2
_space_group_name_H-M_alt 'P 1'
_space_group_IT_number 1
_space_group_name_Hall 'P 1'
_cell_length_a 4.682
_cell_length_b 4.682
_cell_length_c 4.682
_cell_angle_alpha 60.00
_cell_angle_beta 60.00
_cell_angle_gamma 60.00
loop_
_atom_site_label
_atom_site_type_symbol
_atom_site_fract_x
_atom_site_fract_y
_atom_site_fract_z
Co1 Co 0.000 0.000 0.000
Co2 Co 0.750 0.750 0.750
In1 In 0.500 0.500 0.500
Y1 Y 0.250 0.250 0.250

6.
# Y11In9Co4 (GGA-PBE, optimized geometry)
# **M_tot**: 0.000 Bohr magnetons per cell
# **E**: -5.63 eV/atom
# **Formation energy**: -451 meV per atom
data_Y11In9Co4
_space_group_name_H-M_alt 'P 1'
_space_group_IT_number 1
_space_group_name_Hall 'P 1'
_cell_length_a 3.658
_cell_length_b 12.995
_cell_length_c 12.995
_cell_angle_alpha 112.51
_cell_angle_beta 90.00
_cell_angle_gamma 90.00
loop_
_atom_site_label
_atom_site_type_symbol
_atom_site_fract_x
_atom_site_fract_y
_atom_site_fract_z
Y1 Y 0.000 0.583 0.918
Y2 Y 0.000 0.417 0.082
Y3 Y 0.000 0.918 0.583
Y4 Y 0.000 0.082 0.417
Y5 Y 0.000 0.625 0.375
Y6 Y 0.000 0.375 0.625
Y7 Y 0.000 0.838 0.162
Y8 Y 0.000 0.162 0.838
Y9 Y 0.000 0.000 0.000
Y10 Y 0.000 0.686 0.686
Y11 Y 0.000 0.314 0.314
In1 In 0.500 0.631 0.159
In2 In 0.500 0.369 0.841
In3 In 0.500 0.159 0.631
In4 In 0.500 0.841 0.369
In5 In 0.500 0.779 0.921
In6 In 0.500 0.221 0.079
In7 In 0.500 0.921 0.779
In8 In 0.500 0.079 0.221
In9 In 0.500 0.500 0.500
Co1 Co 0.500 0.551 0.753
Co2 Co 0.500 0.449 0.247
Co3 Co 0.500 0.753 0.551
Co4 Co 0.500 0.247 0.449

7.
# YInCo2 (GGA-PBE, optimized geometry)
# **M_tot**: 0.402 Bohr magnetons per cell
# **E**: -5.85 eV/atom
# **Formation energy**: 8 meV per atom
data_YInCo2
_space_group_name_H-M_alt 'P 1'
_space_group_IT_number 1
_space_group_name_Hall 'P 1'
_cell_length_a 3.290
_cell_length_b 3.290
_cell_length_c 6.287
_cell_angle_alpha 90.00
_cell_angle_beta 90.00
_cell_angle_gamma 90.00
loop_
_atom_site_label
_atom_site_type_symbol
_atom_site_fract_x
_atom_site_fract_y
_atom_site_fract_z
Co1 Co 0.000 0.000 0.025
Co2 Co 0.000 0.000 0.475
In1 In 0.500 0.500 0.250
Y1 Y 0.500 0.500 0.750

8.
# YInCo (GGA-PBE, optimized geometry)
# **M_tot**: 0.853 Bohr magnetons per cell
# **E**: -4.84 eV/atom
# **Formation energy**: 598 meV per atom
data_YInCo
_space_group_name_H-M_alt 'P 1'
_space_group_IT_number 1
_space_group_name_Hall 'P 1'
_cell_length_a 4.779
_cell_length_b 4.779
_cell_length_c 4.779
_cell_angle_alpha 60.00
_cell_angle_beta 60.00
_cell_angle_gamma 60.00
loop_
_atom_site_label
_atom_site_type_symbol
_atom_site_fract_x
_atom_site_fract_y
_atom_site_fract_z
Co1 Co 0.000 0.000 0.000
In1 In 0.500 0.500 0.500
Y1 Y 0.750 0.750 0.750

9.
# Y2InCo (GGA-PBE, optimized geometry)
# **M_tot**: 0.586 Bohr magnetons per cell
# **E**: -5.72 eV/atom
# **Formation energy**: -27 meV per atom
data_Y2InCo
_space_group_name_H-M_alt 'P 1'
_space_group_IT_number 1
_space_group_name_Hall 'P 1'
_cell_length_a 5.707
_cell_length_b 5.707
_cell_length_c 5.707
_cell_angle_alpha 135.13
_cell_angle_beta 135.13
_cell_angle_gamma 65.32
loop_
_atom_site_label
_atom_site_type_symbol
_atom_site_fract_x
_atom_site_fract_y
_atom_site_fract_z
Co1 Co 0.500 0.500 0.000
In1 In 0.750 0.250 0.500
Y1 Y 0.000 0.000 0.000
Y2 Y 0.250 0.750 0.500

10.
# Y2InCo (GGA-PBE, optimized geometry)
# **M_tot**: 0.000 Bohr magnetons per cell
# **E**: -5.81 eV/atom
# **Formation energy**: -121 meV per atom
data_Y2InCo
_space_group_name_H-M_alt 'P 1'
_space_group_IT_number 1
_space_group_name_Hall 'P 1'
_cell_length_a 4.031
_cell_length_b 5.994
_cell_length_c 7.906
_cell_angle_alpha 90.00
_cell_angle_beta 90.00
_cell_angle_gamma 90.00
loop_
_atom_site_label
_atom_site_type_symbol
_atom_site_fract_x
_atom_site_fract_y
_atom_site_fract_z
Y1 Y 0.000 0.500 0.000
Y2 Y 0.000 0.000 0.000
Y3 Y 0.500 0.750 0.685
Y4 Y 0.500 0.250 0.315
In1 In 0.000 0.750 0.368
In2 In 0.000 0.250 0.632
Co1 Co 0.500 0.750 0.145
Co2 Co 0.500 0.250 0.855

11.
# YInCo2 (GGA-PBE, optimized geometry)
# **M_tot**: 1.585 Bohr magnetons per cell
# **E**: -5.48 eV/atom
# **Formation energy**: 371 meV per atom
data_YInCo2
_space_group_name_H-M_alt 'P 1'
_space_group_IT_number 1
_space_group_name_Hall 'P 1'
_cell_length_a 8.121
_cell_length_b 8.121
_cell_length_c 8.121
_cell_angle_alpha 23.38
_cell_angle_beta 23.38
_cell_angle_gamma 23.38
loop_
_atom_site_label
_atom_site_type_symbol
_atom_site_fract_x
_atom_site_fract_y
_atom_site_fract_z
Co1 Co 0.996 0.996 0.996
Co2 Co 0.504 0.504 0.504
In1 In 0.250 0.250 0.250
Y1 Y 0.750 0.750 0.750